1.
First-principles (PBE-GGA) data for a relaxed MgCdTc crystal, as listed in Alexandria via LeMat-Bulk.

Output
The distance to the lowest polymorph of the same formula is 241 meV per atom.

The structure in CIF format:
```
data_MgCdTc
_chemical_formula_sum 'Mg1 Cd1 Tc1'
_space_group_name_H-M_alt 'P 1'
_space_group_IT_number 1
_cell_length_a 5.085
_cell_length_b 5.085
_cell_length_c 5.085
_cell_angle_alpha 148.44
_cell_angle_beta 129.24
_cell_angle_gamma 61.01
loop_
_space_group_symop_operation_xyz
'x,y,z'
loop_
_atom_site_label
_atom_site_fract_x
_atom_site_fract_y
_atom_site_fract_z
Mg1 0.000 0.000 0.000
Cd1 0.328 0.328 0.000
Tc1 0.661 0.661 0.000
```

2.
First-principles (PBE-GGA) data for a relaxed Sr2GePd4Pb3 crystal, as listed in Alexandria via LeMat-Bulk.

Output
The final energy is -4.4743 eV per atom.

The structure in CIF format:
```
data_Sr2GePd4Pb3
_chemical_formula_sum 'Sr2 Ge1 Pd4 Pb3'
_space_group_name_H-M_alt 'P 1'
_space_group_IT_number 1
_cell_length_a 4.704
_cell_length_b 4.704
_cell_length_c 11.065
_cell_angle_alpha 90.00
_cell_angle_beta 90.00
_cell_angle_gamma 90.00
loop_
_space_group_symop_operation_xyz
'x,y,z'
loop_
_atom_site_label
_atom_site_fract_x
_atom_site_fract_y
_atom_site_fract_z
Sr1 0.000 0.500 0.245
Sr2 0.500 0.000 0.755
Ge1 0.500 0.500 0.000
Pd1 0.000 0.000 0.500
Pd2 0.000 0.500 0.878
Pd3 0.500 0.000 0.122
Pd4 0.500 0.500 0.500
Pb1 0.000 0.000 0.000
Pb2 0.000 0.500 0.629
Pb3 0.500 0.000 0.371
```

3.
First-principles (PBE-GGA) data for a relaxed CrBi3Pb crystal, as listed in Alexandria via LeMat-Bulk.

Output
The distance to the lowest polymorph of the same formula is 0 meV per atom.

The structure in CIF format:
```
data_CrBi3Pb
_chemical_formula_sum 'Cr1 Bi3 Pb1'
_space_group_name_H-M_alt 'P 1'
_space_group_IT_number 1
_cell_length_a 5.352
_cell_length_b 5.352
_cell_length_c 5.352
_cell_angle_alpha 90.00
_cell_angle_beta 90.00
_cell_angle_gamma 90.00
loop_
_space_group_symop_operation_xyz
'x,y,z'
loop_
_atom_site_label
_atom_site_fract_x
_atom_site_fract_y
_atom_site_fract_z
Cr1 0.000 0.000 0.000
Bi1 0.000 0.000 0.500
Bi2 0.000 0.500 0.000
Bi3 0.500 0.000 0.000
Pb1 0.500 0.500 0.500
```

4.
First-principles (PBE-GGA) data for a relaxed CrFeCo2 crystal, as listed in Alexandria via LeMat-Bulk.

Output
The final energy is -7.9432 eV per atom.

The structure in CIF format:
```
data_CrFeCo2
_chemical_formula_sum 'Cr1 Fe1 Co2'
_space_group_name_H-M_alt 'P 1'
_space_group_IT_number 1
_cell_length_a 2.428
_cell_length_b 3.956
_cell_length_c 4.754
_cell_angle_alpha 90.00
_cell_angle_beta 101.51
_cell_angle_gamma 90.00
loop_
_space_group_symop_operation_xyz
'x,y,z'
loop_
_atom_site_label
_atom_site_fract_x
_atom_site_fract_y
_atom_site_fract_z
Cr1 0.000 0.000 0.000
Fe1 0.781 0.500 0.248
Co1 0.252 0.500 0.748
Co2 0.562 0.000 0.501
```

5.
First-principles (PBE-GGA) data for a relaxed TmIn2Si2Pt7 crystal, as listed in Alexandria via LeMat-Bulk.

Output
The raw formation energy comes out at -0.7264 eV per atom.

The structure in CIF format:
```
data_TmIn2Si2Pt7
_chemical_formula_sum 'Tm1 In2 Si2 Pt7'
_space_group_name_H-M_alt 'P 1'
_space_group_IT_number 1
_cell_length_a 3.987
_cell_length_b 3.987
_cell_length_c 14.094
_cell_angle_alpha 96.00
_cell_angle_beta 96.00
_cell_angle_gamma 90.01
loop_
_space_group_symop_operation_xyz
'x,y,z'
loop_
_atom_site_label
_atom_site_fract_x
_atom_site_fract_y
_atom_site_fract_z
Tm1 0.000 0.000 0.000
In1 0.106 0.106 0.394
In2 0.894 0.894 0.606
Si1 0.409 0.409 0.748
Si2 0.591 0.591 0.252
Pt1 0.057 0.558 0.156
Pt2 0.379 0.379 0.582
Pt3 0.442 0.943 0.844
Pt4 0.500 0.500 0.000
Pt5 0.558 0.057 0.156
Pt6 0.621 0.621 0.418
Pt7 0.943 0.442 0.844
```

6.
First-principles (PBE-GGA) data for a relaxed La2Be3ZnPt4 crystal, as listed in Alexandria via LeMat-Bulk.

Output
The final energy is -5.4852 eV per atom.

The structure in CIF format:
```
data_La2Be3ZnPt4
_chemical_formula_sum 'La2 Be3 Zn1 Pt4'
_space_group_name_H-M_alt 'P 1'
_space_group_IT_number 1
_cell_length_a 4.112
_cell_length_b 4.112
_cell_length_c 10.213
_cell_angle_alpha 90.00
_cell_angle_beta 90.00
_cell_angle_gamma 90.00
loop_
_space_group_symop_operation_xyz
'x,y,z'
loop_
_atom_site_label
_atom_site_fract_x
_atom_site_fract_y
_atom_site_fract_z
La1 0.000 0.500 0.244
La2 0.500 0.000 0.756
Be1 0.000 0.500 0.886
Be2 0.500 0.000 0.114
Be3 0.500 0.500 0.500
Zn1 0.000 0.000 0.500
Pt1 0.000 0.000 0.000
Pt2 0.000 0.500 0.647
Pt3 0.500 0.000 0.353
Pt4 0.500 0.500 0.000
```

| no. | DOS(E_F) (states/eV/cell) | calculated volume (A^3/atom) | total magnetization (μB/f.u.) |
| --- | --- | --- | --- |
| 1 | 2.259 | 17.6 | 0.00 |
| 2 | 5.229 | 24.5 | 0.00 |
| 3 | 4.435 | 30.7 | 2.32 |
| 4 | 6.024 | 11.2 | 5.07 |
| 5 | 2.981 | 18.5 | 0.00 |
| 6 | 4.351 | 17.3 | 0.00 |